Record 1
Computed, not measured: a relaxed NdMg2ZnCu2 crystal at the PBE-GGA level of DFT.

Cell: 4.989 4.989 10.602 Å, 90.00 90.00 90.00°
Sites, in units of the cell vectors:
1 Nd 0.000 0.000 0.000
2 Nd 0.500 0.500 0.500
3 Mg 0.000 0.500 0.250
4 Mg 0.000 0.500 0.750
5 Mg 0.500 0.000 0.250
6 Mg 0.500 0.000 0.750
7 Zn 0.000 0.000 0.500
8 Zn 0.500 0.500 0.000
9 Cu 0.000 0.000 0.279
10 Cu 0.000 0.000 0.721
11 Cu 0.500 0.500 0.221
12 Cu 0.500 0.500 0.779

Computed properties:
Space-group type: I4/mmm (139)
Formation enthalpy at 0 K (meV per atom): 65
Calculated volume (Å³/atom): 22.0
Fermi-level density of states (states/eV/f.u.): 4.77
Total energy (eV per atom): -2.84

***

Record 2
Computed, not measured: a relaxed MgCu3Ni2 crystal at the PBE-GGA level of DFT.

Cell: 7.024 7.024 7.024 Å, 43.30 43.30 43.30°
Sites, in units of the cell vectors:
1 Mg 0.222 0.222 0.222
2 Mg 0.778 0.778 0.778
3 Cu 0.231 0.723 0.723
4 Cu 0.277 0.277 0.769
5 Cu 0.277 0.769 0.277
6 Cu 0.723 0.231 0.723
7 Cu 0.723 0.723 0.231
8 Cu 0.769 0.277 0.277
9 Ni 0.000 0.000 0.000
10 Ni 0.000 0.500 0.500
11 Ni 0.500 0.000 0.500
12 Ni 0.500 0.500 0.000

Computed properties:
Space-group type: R-3m (166)
Formation enthalpy at 0 K (meV per atom): -30
Calculated volume (Å³/atom): 12.3
Fermi-level density of states (states/eV/f.u.): 4.03
Total energy (eV per atom): -4.27

***

Record 3
Computed, not measured: a relaxed MgCu14Ni crystal at the PBE-GGA level of DFT.

Cell: 8.403 5.175 5.175 Å, 59.91 90.00 90.00°
Sites, in units of the cell vectors:
1 Mg 0.000 0.000 0.000
2 Cu 0.000 0.003 0.498
3 Cu 0.000 0.498 0.003
4 Cu 0.246 0.665 0.665
5 Cu 0.254 0.169 0.662
6 Cu 0.254 0.662 0.169
7 Cu 0.255 0.168 0.168
8 Cu 0.500 0.333 0.333
9 Cu 0.500 0.334 0.832
10 Cu 0.500 0.832 0.334
11 Cu 0.500 0.832 0.832
12 Cu 0.745 0.168 0.168
13 Cu 0.746 0.169 0.662
14 Cu 0.746 0.662 0.169
15 Cu 0.754 0.665 0.665
16 Ni 0.000 0.499 0.499

Computed properties:
Space-group type: Amm2 (38)
Formation enthalpy at 0 K (meV per atom): -7
Calculated volume (Å³/atom): 12.2
Fermi-level density of states (states/eV/f.u.): 6.76
Total energy (eV per atom): -4.05

***

Record 4
Computed, not measured: a relaxed MgCu2Ni crystal at the PBE-GGA level of DFT.

Cell: 2.705 2.705 24.985 Å, 90.00 90.00 120.00°
Sites, in units of the cell vectors:
1 Mg 0.000 0.000 0.000
2 Mg 0.333 0.667 0.667
3 Mg 0.667 0.333 0.333
4 Cu 0.000 0.000 0.244
5 Cu 0.000 0.000 0.497
6 Cu 0.333 0.667 0.163
7 Cu 0.333 0.667 0.911
8 Cu 0.667 0.333 0.578
9 Cu 0.667 0.333 0.830
10 Ni 0.000 0.000 0.751
11 Ni 0.333 0.667 0.418
12 Ni 0.667 0.333 0.084

Computed properties:
Space-group type: R3m (160)
Formation enthalpy at 0 K (meV per atom): 88
Calculated volume (Å³/atom): 13.2
Fermi-level density of states (states/eV/f.u.): 1.92
Total energy (eV per atom): -3.80

***

Record 5
Computed, not measured: a relaxed Mg2CuNi crystal at the PBE-GGA level of DFT.

Cell: 8.619 2.877 5.001 Å, 90.00 101.08 90.00°
Sites, in units of the cell vectors:
1 Mg 0.247 0.000 0.244
2 Mg 0.253 0.500 0.756
3 Mg 0.747 0.500 0.244
4 Mg 0.753 0.000 0.756
5 Cu 0.000 0.000 0.500
6 Cu 0.500 0.500 0.500
7 Ni 0.000 0.500 0.000
8 Ni 0.500 0.000 0.000

Computed properties:
Space-group type: C2/m (12)
Formation enthalpy at 0 K (meV per atom): 51
Calculated volume (Å³/atom): 15.2
Fermi-level density of states (states/eV/f.u.): 1.98
Total energy (eV per atom): -3.22

***

Record 6
Computed, not measured: a relaxed Mg2CuNi crystal at the PBE-GGA level of DFT.

Cell: 2.976 3.172 6.310 Å, 90.00 90.00 90.00°
Sites, in units of the cell vectors:
1 Mg 0.000 0.000 0.240
2 Mg 0.000 0.000 0.760
3 Cu 0.500 0.500 0.500
4 Ni 0.500 0.500 0.000

Computed properties:
Space-group type: Pmmm (47)
Formation enthalpy at 0 K (meV per atom): -120
Calculated volume (Å³/atom): 14.9
Fermi-level density of states (states/eV/f.u.): 1.22
Total energy (eV per atom): -3.39

***

Record 7
Computed, not measured: a relaxed MgCuNi2 crystal at the PBE-GGA level of DFT.

Cell: 2.656 2.656 24.756 Å, 90.00 90.00 120.00°
Sites, in units of the cell vectors:
1 Mg 0.000 0.000 0.000
2 Mg 0.333 0.667 0.667
3 Mg 0.667 0.333 0.333
4 Cu 0.000 0.000 0.500
5 Cu 0.333 0.667 0.167
6 Cu 0.667 0.333 0.833
7 Ni 0.000 0.000 0.248
8 Ni 0.000 0.000 0.752
9 Ni 0.333 0.667 0.419
10 Ni 0.333 0.667 0.914
11 Ni 0.667 0.333 0.086
12 Ni 0.667 0.333 0.581

Computed properties:
Space-group type: R-3m (166)
Formation enthalpy at 0 K (meV per atom): 70
Calculated volume (Å³/atom): 12.6
Fermi-level density of states (states/eV/f.u.): 1.22
Total energy (eV per atom): -4.24

***

Record 8
Computed, not measured: a relaxed Mg2CuNi crystal at the PBE-GGA level of DFT.

Cell: 3.772 3.772 8.360 Å, 90.00 90.00 90.00°
Sites, in units of the cell vectors:
1 Mg 0.000 0.000 0.000
2 Mg 0.000 0.500 0.250
3 Mg 0.500 0.000 0.750
4 Mg 0.500 0.500 0.500
5 Cu 0.000 0.000 0.500
6 Cu 0.500 0.500 0.000
7 Ni 0.000 0.500 0.750
8 Ni 0.500 0.000 0.250

Computed properties:
Space-group type: I-4m2 (119)
Formation enthalpy at 0 K (meV per atom): -67
Calculated volume (Å³/atom): 14.9
Fermi-level density of states (states/eV/f.u.): 2.13
Total energy (eV per atom): -3.33

***

Record 9
Computed, not measured: a relaxed Mg7Cu2Ni2 crystal at the PBE-GGA level of DFT.

Cell: 5.276 5.276 6.978 Å, 99.17 99.17 98.92°
Sites, in units of the cell vectors:
1 Mg 0.000 0.000 0.000
2 Mg 0.093 0.483 0.800
3 Mg 0.175 0.175 0.432
4 Mg 0.483 0.093 0.800
5 Mg 0.517 0.907 0.200
6 Mg 0.825 0.825 0.568
7 Mg 0.907 0.517 0.200
8 Cu 0.393 0.393 0.165
9 Cu 0.607 0.607 0.835
10 Ni 0.316 0.684 0.500
11 Ni 0.684 0.316 0.500

Computed properties:
Space-group type: C2/m (12)
Formation enthalpy at 0 K (meV per atom): -78
Calculated volume (Å³/atom): 16.9
Fermi-level density of states (states/eV/f.u.): 5.41
Total energy (eV per atom): -2.89

***

Record 10
Computed, not measured: a relaxed MgCu2Ni crystal at the PBE-GGA level of DFT.

Cell: 2.645 4.142 4.878 Å, 90.00 101.26 90.00°
Sites, in units of the cell vectors:
1 Mg 0.000 0.000 0.000
2 Cu 0.295 0.500 0.732
3 Cu 0.705 0.500 0.268
4 Ni 0.500 0.000 0.500

Computed properties:
Space-group type: P2/m (10)
Formation enthalpy at 0 K (meV per atom): 4
Calculated volume (Å³/atom): 13.1
Fermi-level density of states (states/eV/f.u.): 1.76
Total energy (eV per atom): -3.89

***

Record 11
Computed, not measured: a relaxed Mg2CuNi crystal at the PBE-GGA level of DFT.

Cell: 3.006 4.444 4.444 Å, 90.00 90.00 90.00°
Sites, in units of the cell vectors:
1 Mg 0.000 0.000 0.000
2 Mg 0.000 0.500 0.497
3 Cu 0.500 0.000 0.501
4 Ni 0.500 0.500 0.996

Computed properties:
Space-group type: Pmm2 (25)
Formation enthalpy at 0 K (meV per atom): -119
Calculated volume (Å³/atom): 14.8
Fermi-level density of states (states/eV/f.u.): 1.39
Total energy (eV per atom): -3.39

***

Record 12
Computed, not measured: a relaxed Mg2CuNi crystal at the PBE-GGA level of DFT.

Cell: 3.051 3.051 6.763 Å, 90.00 90.00 90.00°
Sites, in units of the cell vectors:
1 Mg 0.000 0.000 0.000
2 Mg 0.500 0.500 0.352
3 Cu 0.500 0.500 0.762
4 Ni 0.000 0.000 0.578

Computed properties:
Space-group type: P4mm (99)
Formation enthalpy at 0 K (meV per atom): -50
Calculated volume (Å³/atom): 15.7
Fermi-level density of states (states/eV/f.u.): 2.49
Total energy (eV per atom): -3.32

***

Record 13
Computed, not measured: a relaxed MgCuNi crystal at the PBE-GGA level of DFT.

Cell: 4.874 4.965 6.855 Å, 90.00 90.00 90.00°
Sites, in units of the cell vectors:
1 Mg 0.000 0.250 0.128
2 Mg 0.000 0.750 0.872
3 Mg 0.500 0.250 0.372
4 Mg 0.500 0.750 0.628
5 Cu 0.250 0.250 0.750
6 Cu 0.250 0.750 0.250
7 Cu 0.750 0.250 0.750
8 Cu 0.750 0.750 0.250
9 Ni 0.000 0.000 0.500
10 Ni 0.000 0.500 0.500
11 Ni 0.500 0.000 0.000
12 Ni 0.500 0.500 0.000

Computed properties:
Space-group type: Imma (74)
Offset from the most stable computed form (meV per atom): 0.0
Formation enthalpy at 0 K (meV per atom): -183
Calculated volume (Å³/atom): 13.8
Fermi-level density of states (states/eV/f.u.): 1.32
Total energy (eV per atom): -4.01